Model P:
This record from Alexandria describes crystalline AcYN at its relaxed geometry. The functional is GGA-PBE.

POSCAR file:
```
AcYN
1.0
3.667 0.000 0.000
-1.834 3.176 0.000
0.000 0.000 6.645
N Y Ac
1 1 1
direct
0.333 0.667 0.631
0.667 0.333 0.469
0.000 0.000 0.900
```

M_tot = 0.22 μB/atom
space group = No. 156

---

Model Q:
This record from Alexandria describes crystalline AcYN at its relaxed geometry. The functional is GGA-PBE.

POSCAR file:
```
AcYN
1.0
-1.424 -3.012 -0.746
1.136 -1.270 2.958
-5.977 4.230 2.142
Y Ac N
1 1 1
direct
0.744 0.744 0.488
0.043 0.043 0.085
0.214 0.214 0.427
```

M_tot = 0.00 μB/atom
space group = No. 107

---

The structure with the least stability is model Q.

---

Model P:
This record from Alexandria describes crystalline Ac2ZnN at its relaxed geometry. The functional is GGA-PBE.

POSCAR file:
```
Ac2ZnN
1.0
1.457 2.594 -5.156
-3.944 -3.705 -2.978
-5.680 3.258 3.471
Zn Ac N
2 4 2
direct
0.863 0.121 0.953
0.363 0.621 0.953
0.677 0.621 0.657
0.253 0.121 0.657
0.474 0.121 0.251
0.050 0.621 0.251
0.363 0.371 0.454
0.363 0.871 0.454
```

M_tot = 0.00 μB/atom
space group = No. 66

---

Model Q:
This record from Alexandria describes crystalline Ac2ZnN at its relaxed geometry. The functional is GGA-PBE.

POSCAR file:
```
Ac2ZnN
1.0
-2.049 -3.340 0.491
1.759 -3.188 1.529
-2.170 0.163 7.937
N Zn Ac
1 1 2
direct
0.500 0.500 0.500
0.000 0.000 0.000
0.769 0.769 0.692
0.231 0.231 0.308
```

M_tot = 0.00 μB/atom
space group = No. 166

---

The structure with the least stability is model Q.

---

Model P:
This record from Alexandria describes crystalline Ac4Zn2N at its relaxed geometry. The functional is GGA-PBE.

POSCAR file:
```
Ac4Zn2N
1.0
-3.419 -2.037 -3.567
4.056 -2.405 -2.515
-0.611 -8.423 1.391
Zn Ac N
2 4 1
direct
0.621 0.621 0.757
0.379 0.379 0.243
0.825 0.825 0.351
0.175 0.175 0.649
0.000 0.500 0.000
0.500 0.000 0.000
0.000 0.000 0.000
```

M_tot = 0.00 μB/atom
space group = No. 139

---

Model Q:
This record from Alexandria describes crystalline Ac4Zn2N at its relaxed geometry. The functional is GGA-PBE.

POSCAR file:
```
Ac4Zn2N
1.0
3.921 0.000 1.187
1.631 6.797 1.683
-0.227 0.388 7.821
Ac N Zn
4 1 2
direct
0.083 0.181 0.654
0.917 0.819 0.346
0.346 0.237 0.071
0.654 0.763 0.929
0.000 0.000 0.000
0.615 0.434 0.337
0.385 0.566 0.663
```

M_tot = 0.00 μB/atom
space group = No. 12

---

The structure with the least stability is model P.

---

Model P:
This record from Alexandria describes crystalline Na3Ac at its relaxed geometry. The functional is GGA-PBE.

POSCAR file:
```
Na3Ac
1.0
3.687 0.000 0.000
0.000 3.574 0.000
0.000 0.000 12.668
Na Ac
3 1
direct
0.500 0.000 0.695
0.500 0.500 0.208
0.000 0.500 0.466
0.000 0.000 0.965
```

M_tot = 0.00 μB/atom
space group = No. 25

---

Model Q:
This record from Alexandria describes crystalline Na3Ac at its relaxed geometry. The functional is GGA-PBE.

POSCAR file:
```
Na3Ac
1.0
4.000 0.000 0.000
0.000 4.000 0.000
0.000 0.000 19.498
Na Ac
6 2
direct
0.500 0.000 0.711
0.500 0.000 0.941
0.000 0.500 0.289
0.000 0.500 0.826
0.000 0.500 0.059
0.500 0.000 0.174
0.500 0.000 0.430
0.000 0.500 0.570
```

M_tot = 0.00 μB/atom
space group = No. 129

---

Model R:
This record from Alexandria describes crystalline Na3Ac at its relaxed geometry. The functional is GGA-PBE.

POSCAR file:
```
Na3Ac
1.0
-0.579 4.540 2.551
0.892 -2.442 4.549
5.477 -0.020 -4.102
Na Ac
3 1
direct
0.750 0.250 0.500
0.250 0.750 0.500
0.500 0.500 0.000
0.000 0.000 0.000
```

M_tot = 0.00 μB/atom
space group = No. 139

---

The structure with the least stability is model R.

---

Model P:
This record from Alexandria describes crystalline NaAc at its relaxed geometry. The functional is GGA-PBE.

POSCAR file:
```
NaAc
1.0
-0.311 -0.930 3.803
-4.518 -4.785 -1.543
4.641 -4.175 -0.642
Ac Na
2 2
direct
0.750 0.929 0.750
0.250 0.071 0.250
0.249 0.427 0.750
0.751 0.573 0.250
```

M_tot = 0.00 μB/atom
space group = No. 11

---

Model Q:
This record from Alexandria describes crystalline NaAc at its relaxed geometry. The functional is GGA-PBE.

POSCAR file:
```
NaAc
1.0
3.935 0.000 0.000
-1.968 3.408 0.000
0.000 0.000 12.790
Na Ac
2 2
direct
0.667 0.333 0.380
0.333 0.667 0.620
0.333 0.667 0.125
0.667 0.333 0.875
```

M_tot = 0.00 μB/atom
space group = No. 164

---

The structure with the least stability is model P.

---

Model P:
This record from Alexandria describes crystalline NaAc2Nd at its relaxed geometry. The functional is GGA-PBE.

POSCAR file:
```
NaAc2Nd
1.0
-1.069 3.186 -2.164
1.157 -3.222 -5.314
-5.980 -2.047 -0.061
Ac Nd Na
2 1 1
direct
0.000 0.500 0.000
0.000 0.000 0.500
0.500 0.500 0.500
0.500 0.000 0.000
```

M_tot = 0.00 μB/atom
space group = No. 123

---

Model Q:
This record from Alexandria describes crystalline NaAc2Nd at its relaxed geometry. The functional is GGA-PBE.

POSCAR file:
```
NaAc2Nd
1.0
-2.192 -2.359 -2.192
1.670 -2.269 -2.690
1.156 -10.784 6.992
Ac Nd Na
2 1 1
direct
0.087 0.087 0.739
0.246 0.246 0.261
0.500 0.500 0.500
0.667 0.667 0.000
```

M_tot = 0.00 μB/atom
space group = No. 160

---

The structure with the least stability is model P.

---

Model P:
This record from Alexandria describes crystalline NaAcO at its relaxed geometry. The functional is GGA-PBE.

POSCAR file:
```
NaAcO
1.0
-0.015 -4.100 0.624
1.530 1.555 -3.528
6.279 0.421 2.909
Na O Ac
1 1 1
direct
0.000 0.000 0.000
0.333 0.667 0.500
0.667 0.333 0.501
```

M_tot = 0.00 μB/atom
space group = No. 187

---

Model Q:
This record from Alexandria describes crystalline NaAcO at its relaxed geometry. The functional is GGA-PBE.

POSCAR file:
```
NaAcO
1.0
-2.515 0.017 -3.595
-3.821 -4.632 2.652
-7.701 9.462 5.433
Na O Ac
4 4 4
direct
0.250 0.565 0.394
0.750 0.935 0.894
0.750 0.435 0.606
0.250 0.065 0.106
0.250 0.926 0.438
0.750 0.574 0.938
0.750 0.074 0.562
0.250 0.426 0.062
0.750 0.526 0.116
0.250 0.974 0.616
0.750 0.026 0.384
0.250 0.474 0.884
```

M_tot = 0.00 μB/atom
space group = No. 62

---

The structure with the least stability is model P.

---

Model P:
This record from Alexandria describes crystalline NaAc3Os at its relaxed geometry. The functional is GGA-PBE.

POSCAR file:
```
NaAc3Os
1.0
6.558 0.160 -0.180
2.980 5.845 -0.181
0.252 0.160 10.274
Os Ac Na
2 6 2
direct
0.934 0.400 0.527
0.434 0.900 0.527
0.757 0.723 0.751
0.934 0.900 0.438
0.256 0.222 0.303
0.434 0.400 0.616
0.611 0.577 0.303
0.112 0.078 0.752
0.931 0.897 0.085
0.437 0.402 0.970
```

M_tot = 0.00 μB/atom
space group = No. 12

---

Model Q:
This record from Alexandria describes crystalline NaAc3Os at its relaxed geometry. The functional is GGA-PBE.

POSCAR file:
```
NaAc3Os
1.0
-0.923 3.925 -4.341
-5.421 1.084 2.132
2.207 4.304 3.422
Ac Na Os
3 1 1
direct
0.000 0.000 0.500
0.500 0.000 0.000
0.000 0.500 0.000
0.500 0.500 0.500
0.000 0.000 0.000
```

M_tot = 0.00 μB/atom
space group = No. 221

---

The structure with the least stability is model P.